Below is a geometry-optimized HoCr2O6 structure, with properties calculated at the GGA+U level.

Calculated values
Total energy in hartree per atom: -0.27101
Spin magnetization in μB per atom: 0.333

Lattice parameters (Å, degrees): 7.423 5.455 5.106 90.00 90.00 90.00
Space group Pmn2_1 (No. 31)
Unique sites:
Ho1 0.000 0.161 0.000
Cr1 0.245 0.724 0.000
O1 0.000 0.279 0.578
O2 0.000 0.760 0.893
O3 0.196 0.440 0.168
O4 0.212 0.956 0.267